Entry 1:
Entry from Alexandria: Mn2Al2Ga after structural relaxation (PBE).

```
Mn2Al2Ga
1.0
4.0017 0.0000 0.0000
0.0000 4.0469 -0.0517
0.0000 0.1207 9.4606
Mn Al Ga
4 4 2
Direct
0.2500 0.2499 0.5112 Mn
0.7500 0.7500 0.1644 Mn
0.2500 0.2500 0.8356 Mn
0.7500 0.7501 0.4888 Mn
0.7500 0.2499 0.0031 Al
0.2500 0.7499 0.6775 Al
0.2500 0.7501 0.9969 Al
0.7500 0.2501 0.3225 Al
0.7500 0.2500 0.6778 Ga
0.2500 0.7500 0.3222 Ga
```

Results
distance to the lowest polymorph of the same formula	63.6	meV/atom
ΔH_f (0 K)	-0.057	eV per atom
density of states at the Fermi level	5.67	states/eV/cell
size of the total moment	4.982	μB per formula unit

Entry 2:
Entry from Alexandria: MnAl2Ga after structural relaxation (PBE).

```
MnAl2Ga
1.0
-2.7735 -0.2921 -0.6917
-1.8722 -0.9735 1.9501
-3.0421 7.6327 3.0063
Mn Al Ga
1 2 1
Direct
0.6664 0.6664 0.0007 Mn
0.0760 0.0760 0.7720 Al
0.2569 0.2569 0.2292 Al
0.5006 0.5006 0.4982 Ga
```

Results
ΔH_f (0 K)	-0.029	eV per atom
density of states at the Fermi level	2.20	states/eV/cell
size of the total moment	2.471	μB per formula unit

Entry 3:
Entry from Alexandria: Mn2AlGa after structural relaxation (PBE).

```
Mn2AlGa
1.0
0.0625 2.1579 3.5655
-1.3444 3.9447 0.0725
-3.5733 0.9489 1.9247
Mn Al Ga
2 1 1
Direct
0.2500 0.2500 0.2500 Mn
0.7500 0.7500 0.7500 Mn
0.0000 0.0000 0.0000 Al
0.5000 0.5000 0.5000 Ga
```

Results
distance to the lowest polymorph of the same formula	78.8	meV/atom
ΔH_f (0 K)	-0.120	eV per atom
density of states at the Fermi level	4.57	states/eV/cell
size of the total moment	3.772	μB per formula unit

Entry 4:
Entry from Alexandria: MnAl2Ga2 after structural relaxation (PBE).

```
MnAl2Ga2
1.0
-3.2215 4.3374 -3.7807
-5.6127 -3.3227 0.9705
-0.7323 2.1344 3.0726
Mn Al Ga
2 4 4
Direct
0.0000 0.0000 0.0000 Mn
0.5000 0.5000 0.0000 Mn
0.1644 0.6644 0.5000 Al
0.6644 0.8356 0.5000 Al
0.8356 0.3356 0.5000 Al
0.3356 0.1644 0.5000 Al
0.3589 0.8589 0.0000 Ga
0.8589 0.6411 0.0000 Ga
0.6411 0.1411 0.0000 Ga
0.1411 0.3589 0.0000 Ga
```

Results
distance to the lowest polymorph of the same formula	0.0	meV/atom
ΔH_f (0 K)	0.120	eV per atom
density of states at the Fermi level	5.60	states/eV/cell
size of the total moment	2.887	μB per formula unit

Entry 5:
Entry from Alexandria: MnAl2Ga4 after structural relaxation (PBE).

```
MnAl2Ga4
1.0
6.6589 0.0000 0.0000
0.0000 6.6589 0.0000
-3.3295 -3.3295 2.7889
Mn Al Ga
1 2 4
Direct
0.5000 0.5000 0.0000 Mn
0.7500 0.2500 0.5000 Al
0.2500 0.7500 0.5000 Al
0.7941 0.2054 0.9995 Ga
0.2054 0.7941 0.9995 Ga
0.7946 0.7946 0.0005 Ga
0.2059 0.2059 0.0005 Ga
```

Results
ΔH_f (0 K)	0.185	eV per atom
density of states at the Fermi level	3.17	states/eV/cell
size of the total moment	3.941	μB per formula unit

Entry 6:
Entry from Alexandria: MnAl2Ga after structural relaxation (PBE).

```
MnAl2Ga
1.0
-2.4273 1.4590 0.4180
-2.0344 0.0010 -2.0141
-5.0375 -6.4465 3.0507
Mn Al Ga
1 2 1
Direct
0.0000 0.0000 0.0000 Mn
0.2568 0.2568 0.2295 Al
0.7432 0.7432 0.7705 Al
0.5000 0.5000 0.5000 Ga
```

Results
ΔH_f (0 K)	-0.055	eV per atom
density of states at the Fermi level	2.18	states/eV/cell
size of the total moment	2.424	μB per formula unit

Entry 7:
Entry from Alexandria: Mn2AlGa after structural relaxation (PBE).

```
Mn2AlGa
1.0
3.6239 0.0000 0.0000
0.0000 3.8361 0.0000
0.0000 0.0000 3.8361
Mn Al Ga
2 1 1
Direct
0.0000 0.0000 0.5000 Mn
0.0000 0.5000 0.0000 Mn
0.5000 0.5000 0.5000 Al
0.5000 0.0000 0.0000 Ga
```

Results
distance to the lowest polymorph of the same formula	0.0	meV/atom
ΔH_f (0 K)	-0.199	eV per atom
density of states at the Fermi level	2.43	states/eV/cell
size of the total moment	4.948	μB per formula unit

Entry 8:
Entry from Alexandria: MnAlGa after structural relaxation (PBE).

```
MnAlGa
1.0
-0.5531 2.0274 1.7353
-5.1566 -3.2773 2.1855
2.8010 -2.1425 3.3959
Mn Al Ga
2 2 2
Direct
0.5000 0.2068 0.2500 Mn
0.5000 0.7932 0.7500 Mn
0.0000 0.1261 0.7500 Al
0.0000 0.8739 0.2500 Al
0.0000 0.5000 0.5000 Ga
0.0000 0.5000 0.0000 Ga
```

Results
distance to the lowest polymorph of the same formula	72.4	meV/atom
ΔH_f (0 K)	-0.118	eV per atom
density of states at the Fermi level	3.56	states/eV/cell
size of the total moment	2.251	μB per formula unit

Entry 9:
Entry from Alexandria: MnAl2Ga after structural relaxation (PBE).

```
MnAl2Ga
1.0
-2.4103 2.8789 1.5929
-0.8973 -1.5163 -3.8388
-4.5369 -5.6117 3.2771
Mn Al Ga
2 4 2
Direct
0.3281 0.6562 0.2500 Mn
0.6719 0.3438 0.7500 Mn
0.3351 0.6702 0.5756 Al
0.6649 0.3298 0.4244 Al
0.6649 0.3298 0.0756 Al
0.3351 0.6702 0.9244 Al
0.0007 0.0013 0.2500 Ga
0.9993 0.9987 0.7500 Ga
```

Results
ΔH_f (0 K)	-0.128	eV per atom
density of states at the Fermi level	5.91	states/eV/cell
size of the total moment	1.268	μB per formula unit

Entry 10:
Entry from Alexandria: MnAl2Ga after structural relaxation (PBE).

```
MnAl2Ga
1.0
3.8037 0.0000 0.0000
0.0000 3.9216 0.0000
0.0000 0.0000 3.9216
Mn Al Ga
1 2 1
Direct
0.5000 0.5000 0.5000 Mn
0.0000 0.0000 0.5000 Al
0.0000 0.5000 0.0000 Al
0.5000 0.0000 0.0000 Ga
```

Results
ΔH_f (0 K)	-0.089	eV per atom
density of states at the Fermi level	1.95	states/eV/cell
size of the total moment	2.682	μB per formula unit

Entry 11:
Entry from Alexandria: Mn2AlGa after structural relaxation (PBE).

```
Mn2AlGa
1.0
3.0055 0.0000 0.0000
0.0000 3.0055 0.0000
0.0000 0.0000 5.6660
Mn Al Ga
2 1 1
Direct
0.0000 0.0000 0.7454 Mn
0.0000 0.0000 0.2546 Mn
0.5000 0.5000 0.0000 Al
0.5000 0.5000 0.5000 Ga
```

Results
distance to the lowest polymorph of the same formula	64.2	meV/atom
ΔH_f (0 K)	-0.135	eV per atom
density of states at the Fermi level	2.62	states/eV/cell
size of the total moment	3.688	μB per formula unit

Entry 12:
Entry from Alexandria: MnAlGaMo after structural relaxation (PBE).

```
MnAlGaMo
1.0
-0.5594 -3.8890 -1.7363
3.3970 -2.5061 -0.7947
0.6691 -3.5239 2.3636
Mo Mn Al Ga
1 1 1 1
Direct
0.2500 0.2500 0.2500 Mo
0.5000 0.5000 0.5000 Mn
0.7500 0.7500 0.7500 Al
0.0000 0.0000 0.0000 Ga
```

Results
ΔH_f (0 K)	-0.001	eV per atom
density of states at the Fermi level	2.69	states/eV/cell
size of the total moment	0.846	μB per formula unit

What is the ΔH_f (0 K) in the fifth record? 0.185 eV per atom

Among the records above, which one has the highest size of the total moment? Mn2Al2Ga

What did the seventh record say?
Entry from Alexandria: Mn2AlGa after structural relaxation (PBE).

```
Mn2AlGa
1.0
3.6239 0.0000 0.0000
0.0000 3.8361 0.0000
0.0000 0.0000 3.8361
Mn Al Ga
2 1 1
Direct
0.0000 0.0000 0.5000 Mn
0.0000 0.5000 0.0000 Mn
0.5000 0.5000 0.5000 Al
0.5000 0.0000 0.0000 Ga
```

Results
distance to the lowest polymorph of the same formula	0.0	meV/atom
ΔH_f (0 K)	-0.199	eV per atom
density of states at the Fermi level	2.43	states/eV/cell
size of the total moment	4.948	μB per formula unit